{
  "formula": "LaCdP2O",
  "functional": "PBEsol",
  "state": "relaxed",
  "cell": [[5.593, 0.000, 0.000], [0.000, 5.593, 0.000], [0.000, 0.000, 4.134]],
  "species": ["La", "Cd", "P", "P", "O"],
  "fractional_positions": [[0.000, 0.000, 0.000], [0.500, 0.500, 0.500], [0.000, 0.500, 0.000], [0.500, 0.000, 0.000], [0.000, 0.000, 0.500]],
  "dft_energy_ev_per_atom": -4.628,
  "raw_formation_energy_ev_per_atom": 0.05
}


{
  "formula": "LiCuS",
  "functional": "PBEsol",
  "state": "relaxed",
  "cell": [[-4.980, 4.980, 2.380], [4.980, -4.980, 2.380], [4.980, 4.980, -2.380]],
  "species": ["Li", "Li", "Li", "Li", "Cu", "Cu", "Cu", "Cu", "S", "S", "S", "S"],
  "fractional_positions": [[0.000, 0.342, 0.342], [0.000, 0.658, 0.658], [0.342, 0.000, 0.342], [0.658, 0.000, 0.658], [0.354, 0.354, 0.709], [0.354, 0.646, 0.000], [0.646, 0.354, 0.000], [0.646, 0.646, 0.291], [0.200, 0.500, 0.700], [0.500, 0.200, 0.700], [0.500, 0.800, 0.300], [0.800, 0.500, 0.300]],
  "dft_energy_ev_per_atom": -4.212,
  "raw_formation_energy_ev_per_atom": -0.65
}


{
  "formula": "MgMn4Sb",
  "functional": "PBEsol",
  "state": "relaxed",
  "cell": [[0.000, 3.399, 3.399], [3.399, 0.000, 3.399], [3.399, 3.399, 0.000]],
  "species": ["Mg", "Mn", "Mn", "Mn", "Mn", "Sb"],
  "fractional_positions": [[0.000, 0.000, 0.000], [0.375, 0.375, 0.375], [0.375, 0.375, 0.875], [0.375, 0.875, 0.375], [0.875, 0.375, 0.375], [0.750, 0.750, 0.750]],
  "dft_energy_ev_per_atom": -7.277,
  "raw_formation_energy_ev_per_atom": 0.28
}


{
  "formula": "ReTcP2",
  "functional": "PBEsol",
  "state": "relaxed",
  "cell": [[0.000, 3.011, 3.011], [3.011, 0.000, 3.011], [3.011, 3.011, 0.000]],
  "species": ["Re", "Tc", "P", "P"],
  "fractional_positions": [[0.000, 0.000, 0.000], [0.250, 0.250, 0.250], [0.500, 0.500, 0.500], [0.750, 0.750, 0.750]],
  "dft_energy_ev_per_atom": -8.568,
  "delta_e_f_ev_per_fu": 1.9
}


{
  "formula": "ZnRe2Au",
  "functional": "PBEsol",
  "state": "relaxed",
  "cell": [[1.446, -2.295, 0.000], [1.446, 2.295, 0.000], [0.000, 0.000, 9.162]],
  "species": ["Zn", "Re", "Re", "Au"],
  "fractional_positions": [[0.000, 0.000, 0.000], [0.000, 0.000, 0.520], [0.500, 0.500, 0.754], [0.500, 0.500, 0.246]],
  "dft_energy_ev_per_atom": -7.796,
  "delta_e_f_ev_per_fu": 1.0
}


{
  "formula": "LaAsW2",
  "functional": "PBEsol",
  "state": "relaxed",
  "cell": [[2.807, -3.207, 0.000], [2.807, 3.207, 0.000], [0.000, 0.000, 4.616]],
  "species": ["La", "As", "W", "W"],
  "fractional_positions": [[0.000, 0.000, 0.000], [0.500, 0.500, 0.000], [0.315, 0.685, 0.500], [0.685, 0.315, 0.500]],
  "dft_energy_ev_per_atom": -9.125,
  "delta_e_f_ev_per_fu": 1.6
}


| no. | D(E_F) (states/eV/cell) |
| --- | --- |
| 1 | 5.15 |
| 2 | 0.00 |
| 3 | 8.43 |
| 4 | 5.05 |
| 5 | 2.29 |
| 6 | 2.46 |